Below is an optimized crystal structure of PaCo2Cu2O7, with properties calculated at the PBE+U level.

abc: 5.3446 5.3446 23.6949
angles: 90.00 90.00 120.00
Space group R32 (No. 155, hexagonal axes)
Unique sites:
Pa (0.0000, 0.0000, 0.0000) (multiplicity 3)
Co (0.0000, 0.0000, 0.4244) (multiplicity 6)
Cu (0.0000, 0.0000, 0.2674) (multiplicity 6)
O (0.0000, 0.0000, 0.5000) (multiplicity 3)
O (0.0017, 0.3558, 0.7254) (multiplicity 18)

final energy	-237.42	eV for the cell shown
theoretical density	5.00	g/cm3